# PBE Sc3Co2Si4, optimized geometry
data_Sc3Co2Si4
_chemical_formula_sum 'Sc6 Co4 Si8'
_cell_length_a 9.926
_cell_length_b 3.926
_cell_length_c 7.501
_cell_angle_alpha 90.00
_cell_angle_beta 107.79
_cell_angle_gamma 90.00
_symmetry_space_group_name_H-M 'C 1 2/m 1'
_symmetry_Int_Tables_number 12
loop_
_symmetry_equiv_pos_as_xyz
'x,y,z'
'-x,-y,-z'
'-x,y,-z'
'x,-y,z'
'x+1/2,y+1/2,z'
'-x+1/2,-y+1/2,-z'
'-x+1/2,y+1/2,-z'
'x+1/2,-y+1/2,z'
loop_
_atom_site_label
_atom_site_type_symbol
_atom_site_fract_x
_atom_site_fract_y
_atom_site_fract_z
Sc1 Sc 0.000 0.000 0.000
Sc2 Sc 0.122 0.500 0.693
Co1 Co 0.188 0.500 0.367
Si1 Si 0.092 0.000 0.406
Si2 Si 0.217 0.500 0.078
# Formation energy (no corrections) = -0.798 eV per atom